A relaxed structure of SmGa4CuAu2, computed with GGA-PBE.

The structure in extended XYZ format:
```
8
Lattice="-0.209 -4.035 1.891 3.074 -3.082 -0.975 5.808 0.416 6.791" Properties=species:S:1:pos:R:3 pbc="T T T"
Sm 0.000 0.000 0.000
Ga 5.825 -2.496 5.842
Ga 4.783 -6.016 3.479
Ga 3.890 -0.686 4.228
Ga 2.849 -4.206 1.865
Cu 4.337 -3.351 3.853
Au 6.433 -5.067 5.684
Au 2.241 -1.634 2.023
```

## Properties
**Total moment**: 0.00 μB/atom
**Symmetry**: No. 166
**Formation enthalpy at 0 K**: -2.66 eV/f.u.